! SnBPN2 | the Alexandria database | PBE | relaxed; values from VASP
! raw formation energy	1.097	eV/atom
! total energy	-27.25	eV/cell
! crystal system	tetragonal
! theoretical density	5.74	g/cm³
&SYSTEM
  ibrav = 0, nat = 5, ntyp = 4
/
ATOMIC_SPECIES
N 14.01 N.upf
B 10.81 B.upf
P 30.97 P.upf
Sn 118.71 Sn.upf
ATOMIC_POSITIONS angstrom
N 0.000 0.000 1.861
N 1.861 0.000 0.000
B 0.000 1.968 0.000
P 0.000 0.000 0.000
Sn 1.861 1.968 1.861
CELL_PARAMETERS angstrom
3.721 0.000 0.000
0.000 3.935 0.000
0.000 0.000 3.721